[1]
Here is crystalline Cs2ScFeMo at its relaxed geometry from Alexandria. Energies are from PBE.

Unit cell a=6.807 b=4.121 c=6.807 alpha=90.00 beta=90.00 gamma=90.00
Fractional positions:
Cs 0.000 0.000 0.500
Cs 0.500 0.000 0.000
Sc 0.000 0.000 0.000
Mo 0.500 0.500 0.500
Fe 0.000 0.500 0.000

As for the volume: 191 Å³ per cell. The energy of formation comes out at 1.89 eV per atom. Its crystal system is tetragonal.

[2]
Here is crystalline Nd2TmGa3Au4 at its relaxed geometry from Alexandria. Energies are from PBE.

Unit cell a=4.399 b=4.399 c=11.532 alpha=90.00 beta=90.00 gamma=90.00
Fractional positions:
Nd 0.000 0.500 0.781
Nd 0.500 0.000 0.219
Ga 0.000 0.000 0.500
Ga 0.000 0.500 0.127
Ga 0.500 0.000 0.873
Tm 0.500 0.500 0.500
Au 0.500 0.000 0.654
Au 0.000 0.500 0.346
Au 0.500 0.500 0.000
Au 0.000 0.000 0.000

As for the volume: 223 Å³ per cell. The energy of formation comes out at -0.67 eV per atom. Its crystal system is tetragonal.

[3]
Here is crystalline ZrP2Se at its relaxed geometry from Alexandria. Energies are from PBE.

Unit cell a=5.734 b=5.734 c=7.421 alpha=67.27 beta=67.27 gamma=90.00
Fractional positions:
P 0.375 0.373 0.750
P 0.123 0.625 0.250
P 0.875 0.877 0.750
P 0.627 0.125 0.250
Se 0.250 0.750 0.500
Se 0.500 0.500 0.000
Zr 0.000 0.000 0.000
Zr 0.750 0.250 0.500

As for the volume: 204 Å³ per cell. Its uncorrected formation energy is 39.4 kJ/mol of formula units. Its crystal system is tetragonal.

[4]
Here is crystalline Pa2TiFeS5 at its relaxed geometry from Alexandria. Energies are from PBE.

Unit cell a=3.629 b=7.987 c=11.314 alpha=90.00 beta=90.00 gamma=103.13
Fractional positions:
Ti 0.825 0.650 0.517
Ti 0.175 0.350 0.017
Pa 0.123 0.246 0.704
Pa 0.890 0.780 0.846
Pa 0.110 0.220 0.346
Pa 0.877 0.754 0.204
S 0.019 0.038 0.019
S 0.304 0.609 0.370
S 0.340 0.679 0.022
S 0.660 0.321 0.522
S 0.503 0.005 0.250
S 0.694 0.387 0.177
S 0.497 0.995 0.750
S 0.696 0.391 0.870
S 0.306 0.613 0.677
S 0.981 0.962 0.519
Fe 0.561 0.122 0.919
Fe 0.439 0.878 0.419

As for the volume: 319 Å³ per cell. Its uncorrected formation energy is -1202.9 kJ/mol of formula units. Its crystal system is orthorhombic.